(1)
VASP calculation (PBE) on a relaxed structure of HoTm6In3.

size of the total moment: 0.0 μB per formula unit
energy: -4.08 eV per atom
D(E_F): 1.25 states/eV/atom
SG: Cmc2_1, No. 36
formation enthalpy at 0 K: -0.115 eV per atom
crystal system: orthorhombic

Lattice parameters (Å, degrees): 9.184 9.184 7.575 90.00 90.00 111.25
Sites, in units of the cell vectors:
Ho 0.207 0.793 0.500
Ho 0.793 0.207 0.000
Tm 0.046 0.954 0.213
Tm 0.076 0.449 0.714
Tm 0.235 0.300 0.024
Tm 0.300 0.235 0.524
Tm 0.300 0.700 0.052
Tm 0.449 0.076 0.214
Tm 0.551 0.924 0.714
Tm 0.700 0.300 0.552
Tm 0.700 0.765 0.024
Tm 0.765 0.700 0.524
Tm 0.924 0.551 0.214
Tm 0.954 0.046 0.713
In 0.014 0.282 0.350
In 0.282 0.014 0.850
In 0.445 0.555 0.739
In 0.555 0.445 0.239
In 0.718 0.986 0.350
In 0.986 0.718 0.850


(2)
VASP calculation (PBE) on a relaxed structure of RbHBr3.

energy above the most stable polymorph in this dataset: 187.7 meV per atom
size of the total moment: 0.8 μB per formula unit
energy: -2.36 eV per atom
D(E_F): 0.58 states/eV/atom
SG: I4/mmm, No. 139
crystal system: tetragonal

Lattice parameters (Å, degrees): 7.537 7.537 7.537 119.21 119.21 91.37
Sites, in units of the cell vectors:
Rb 0.250 0.750 0.500
Rb 0.750 0.250 0.500
H 0.000 0.000 0.000
H 0.500 0.500 0.000
Br 0.163 0.163 0.000
Br 0.299 0.299 0.598
Br 0.299 0.701 0.000
Br 0.701 0.299 0.000
Br 0.701 0.701 0.402
Br 0.837 0.837 0.000


(3)
VASP calculation (PBE) on a relaxed structure of AlCd3.

size of the total moment: 0.0 μB per formula unit
energy: -1.48 eV per atom
D(E_F): 0.29 states/eV/atom
SG: Cmcm, No. 63
formation enthalpy at 0 K: 0.141 eV per atom
crystal system: orthorhombic

Lattice parameters (Å, degrees): 5.646 5.646 5.673 90.00 90.00 88.35
Sites, in units of the cell vectors:
Al 0.054 0.946 0.750
Al 0.946 0.054 0.250
Cd 0.082 0.554 0.250
Cd 0.412 0.588 0.750
Cd 0.446 0.918 0.250
Cd 0.554 0.082 0.750
Cd 0.588 0.412 0.250
Cd 0.918 0.446 0.750